1.
Na2YHf2S6 | PBE | relaxed

Values from the calculation:
DOS at the Fermi energy, states/eV/cell: 8.2
Crystal system: monoclinic
Raw formation energy, eV/atom: -1.637

Cell: 6.4652 11.3032 7.1610 Å, 90.00 107.21 90.00°
Space group C2/m (No. 12)
Unique sites:
Na: 0.0000 0.1625 0.0000
Y: 0.0000 0.0000 0.5000
Hf: 0.0000 0.3337 0.5000
S: 0.2191 0.5000 0.7186
S: 0.2453 0.1762 0.7177

***

2.
Na3Y2HfS6 | PBE | relaxed

Values from the calculation:
DOS at the Fermi energy, states/eV/cell: 7.6
Crystal system: monoclinic
Raw formation energy, eV/atom: -1.698

Cell: 6.7033 11.6116 7.0899 Å, 90.00 108.46 90.00°
Space group C2/m (No. 12)
Unique sites:
Na: 0.0000 0.0000 0.0000
Na: 0.0000 0.3312 0.0000
Y: 0.0000 0.1665 0.5000
Hf: 0.0000 0.5000 0.5000
S: 0.2337 0.3419 0.7261
S: 0.2407 0.5000 0.2752

***

3.
Na4Y3HfS8 | PBE | relaxed

Values from the calculation:
DOS at the Fermi energy, states/eV/cell: 12.3
Crystal system: trigonal
Raw formation energy, eV/atom: -1.732

Cell: 7.8028 7.8028 20.1216 Å, 90.00 90.00 120.00°
Space group R-3m (No. 166, hexagonal axes)
Unique sites:
Na: 0.0000 0.0000 0.0000
Na: 0.0000 0.5000 0.0000
Y: 0.0000 0.5000 0.5000
Hf: 0.0000 0.0000 0.5000
S: 0.0000 0.0000 0.2440
S: 0.0164 0.5082 0.2413

***

4.
Na2HfZnS4 | PBE | relaxed

Values from the calculation:
DOS at the Fermi energy, states/eV/cell: 0.0
Crystal system: tetragonal
Raw formation energy, eV/atom: -1.187

Cell: 6.2843 6.2843 10.4759 Å, 90.00 90.00 90.00°
Space group I-4 (No. 82)
Unique sites:
Na: 0.0000 0.0000 0.0000
Na: 0.0000 0.5000 0.2500
Hf: 0.0000 0.0000 0.5000
Zn: 0.0000 0.5000 0.7500
S: 0.1947 0.2520 0.6264

***

no.,M_tot (Bohr magnetons per cell)
1,0.0
2,0.0
3,0.0
4,0.0